[1]
Entry from the Alexandria database: an optimized crystal structure of Dy2GeSe (PBE).

energy relative to the lowest polymorph listed for this composition = 0.0 meV per atom
raw formation energy = -1.400 eV per atom
total energy = -5.7263 eV per atom
total moment = 0.00 μB per formula unit

a b c (Å): 8.2654 16.4511 7.1465
angles (deg): 90.00 124.98 90.00
Last column: nearest neighbours and their distance in Å.
Space group C2/c (No. 15)
Symmetry-distinct sites (fractional):
Dy 0.2373 0.0627 0.2415 x8  3 Ge 2.88-2.90, 3 Se 2.94-2.98
Dy 0.2459 0.1877 0.7420 x8  3 Ge 2.88-2.89, 3 Se 2.94-2.98
Ge 0.0000 0.0650 0.7500 x4  6 Dy 2.88-2.90
Ge 0.0000 0.1900 0.2500 x4  6 Dy 2.88-2.89
Se 0.0000 0.3148 0.7500 x4  6 Dy 2.94-2.98
Se 0.0000 0.4398 0.2500 x4  6 Dy 2.94-2.98

***

[2]
Entry from the Alexandria database: an optimized crystal structure of Th7Fe2Pb3 (PBE).

total energy = -6.8881 eV per atom
total moment = 0.00 μB per formula unit
calculated formation energy = -2.7 eV per formula unit

a b c (Å): 5.2515 26.5561 5.0167
angles (deg): 90.00 90.00 90.00
Last column: nearest neighbours and their distance in Å.
Space group Cmmm (No. 65)
Symmetry-distinct sites (fractional):
Th 0.0000 0.0000 0.0000 x2  2 Fe 2.60
Th 0.0000 0.1000 0.5000 x4  2 Fe 2.51
Th 0.0000 0.2060 0.0000 x4  1 Fe 2.87
Th 0.0000 0.3977 0.0000 x4  2 Fe 2.63
Fe 0.0000 0.0979 0.0000 x4  5 Th 2.51-2.63
Pb 0.0000 0.3062 0.5000 x4  10 Th 3.49-3.66
Pb 0.0000 0.5000 0.5000 x2  12 Th 3.63-3.73

***

[3]
Entry from the Alexandria database: an optimized crystal structure of Ti3Ga2C (PBE).

total energy = -6.8868 eV per atom
total moment = 0.00 μB per formula unit
calculated formation energy = -2.4 eV per formula unit

a b c (Å): 7.0941 9.5862 5.4390
angles (deg): 90.00 106.30 90.00
Last column: nearest neighbours and their distance in Å.
Space group C2/c (No. 15)
Symmetry-distinct sites (fractional):
Ti 0.1633 0.0741 0.4815 x8  2 C 2.11-2.15
Ti 0.2500 0.2500 0.0000 x4  2 C 2.44, 4 Ga 2.57-2.62
Ga 0.0000 0.3022 0.2500 x4  1 Ga 2.49, 6 Ti 2.57-2.70
Ga 0.0000 0.4380 0.7500 x4  1 Ga 2.49, 4 Ti 2.62-2.75
C 0.0000 0.0913 0.7500 x4  4 Ti 2.11-2.15

***

What is the formula in the first record?
Dy2GeSe

***

What is the formula in the third record?
Ti3Ga2C